Sm9Ho4Tl11, relaxed, DFT PBE; calculated density = 10285 kg/m3; energy of formation from the pure elements = -0.287 eV per atom; uncorrected energy = -3.904 eV/atom
1.0
3.591 0.000 0.000
0.000 13.357 -4.073
0.000 1.503 13.883
Ho Tl Sm
4 11 9
Cartesian
1.796 4.174 4.910
1.796 8.705 7.901
1.796 6.156 1.909
1.796 10.686 4.900
0.000 5.671 -0.743
0.000 3.534 10.807
0.000 3.520 2.324
0.000 11.326 -0.997
0.000 1.545 5.507
0.000 5.833 7.325
0.000 11.340 7.486
0.000 13.315 4.303
0.000 0.000 0.000
0.000 9.028 2.485
0.000 9.190 10.553
1.796 12.043 10.207
1.796 8.543 -0.562
1.796 7.430 4.905
1.796 2.841 8.076
1.796 14.118 7.063
1.796 6.318 10.371
1.796 12.020 1.734
1.796 2.817 -0.397
1.796 0.742 2.747

YBi2Pd2, relaxed, DFT PBE; energy above the lowest structure with this stoichiometry = 129.3 meV/atom; calculated density = 9748 kg/m3; energy of formation from the pure elements = -0.374 eV per atom; uncorrected energy = -5.296 eV/atom
1.0
-1.978 2.531 -2.939
-2.726 -3.254 -0.967
-6.450 1.721 2.597
Pd Bi Y
2 2 1
Cartesian
-5.764 -0.947 -0.162
-5.390 1.945 -1.148
-3.328 0.134 -0.870
-7.827 0.863 -0.440
0.000 0.000 0.000

TiPPbCl2, relaxed, DFT PBE; formation energy without anion corrections = -0.59 eV/atom; energy above the lowest structure with this stoichiometry = 0.0 meV/atom; calculated density = 4793 kg/m3; uncorrected energy = -4.736 eV/atom
1.0
4.979 0.000 0.000
0.000 4.979 0.000
0.000 0.000 4.988
Cl P Ti Pb
2 1 1 1
Cartesian
2.490 0.000 0.000
0.000 2.490 0.000
0.000 0.000 2.494
0.000 0.000 0.000
2.490 2.490 2.494

Zr4Tl3Hg, relaxed, DFT PBE; calculated density = 10756 kg/m3; energy of formation from the pure elements = -0.035 eV per atom; uncorrected energy = -5.234 eV/atom
1.0
5.163 0.000 -1.394
-0.370 5.156 -1.370
-0.799 -0.880 7.301
Hg Zr Tl
1 4 3
Cartesian
2.582 0.000 -0.697
1.201 1.279 4.450
2.793 2.998 0.088
3.598 3.856 3.069
0.397 0.421 1.469
3.373 0.841 2.234
0.622 3.435 2.303
-0.185 2.578 -0.685

ZnMo3Pd, relaxed, DFT PBE; energy above the lowest structure with this stoichiometry = 320.2 meV/atom; calculated density = 7206 kg/m3; energy of formation from the pure elements = 1.951 eV per atom; uncorrected energy = -5.841 eV/atom
1.0
4.731 0.000 0.000
0.000 4.731 0.000
0.000 0.000 4.731
Mo Zn Pd
3 1 1
Cartesian
2.366 0.000 0.000
0.000 2.366 0.000
0.000 0.000 2.366
2.366 2.366 2.366
0.000 0.000 0.000

Nd2VAs, relaxed, DFT PBE; calculated density = 5480 kg/m3; energy of formation from the pure elements = 0.165 eV per atom; uncorrected energy = -5.661 eV/atom
1.0
-1.909 -1.927 -2.763
1.586 -0.435 -3.505
4.029 -9.036 0.806
Nd As V
2 1 1
Cartesian
0.970 -4.941 -5.363
2.735 -6.457 -0.100
1.853 -5.699 -2.731
0.000 0.000 0.000